Version a
# NaNi2Cl

NaNi2Cl after structural relaxation (PBE, Alexandria via LeMat-Bulk).

Calculated values
Size of the total moment in μB/cell: 3.80

abc: 6.2603 6.2603 6.2603
angles: 90.00 90.00 90.00
Space group Fm-3m (No. 225)
Symmetry-distinct sites (fractional):
1 Na 0.0000 0.0000 0.0000 x4
2 Ni 0.2500 0.2500 0.2500 x8
3 Cl 0.0000 0.0000 0.5000 x4

---

Version b
# NaNi2Cl

NaNi2Cl after structural relaxation (PBE, Alexandria via LeMat-Bulk).

Calculated values
Size of the total moment in μB/cell: 0.00

abc: 4.8789 4.8789 13.8498
angles: 90.00 90.00 90.00
Space group I4_1/amd (No. 141, origin choice 2)
Symmetry-distinct sites (fractional):
1 Na 0.0000 0.2500 0.3750 x4
2 Ni 0.0000 0.0000 0.0000 x8
3 Cl 0.0000 0.2500 0.8750 x4

---

The relative energies come out as version a 0.503; version b 0.000, with values in eV/atom.

---

Version a
# NaNi3Cl

NaNi3Cl after structural relaxation (PBE, Alexandria via LeMat-Bulk).

Calculated values
Size of the total moment in μB/cell: 2.03

abc: 4.6263 4.6263 4.6263
angles: 90.00 90.00 90.00
Space group Pm-3m (No. 221)
Symmetry-distinct sites (fractional):
1 Na 0.0000 0.0000 0.0000 x1
2 Ni 0.0000 0.0000 0.5000 x3
3 Cl 0.5000 0.5000 0.5000 x1

---

Version b
# NaNi3Cl

NaNi3Cl after structural relaxation (PBE, Alexandria via LeMat-Bulk).

Calculated values
Size of the total moment in μB/cell: 0.00

abc: 4.2281 4.2281 4.2281
angles: 90.00 90.00 90.00
Space group Pm-3m (No. 221)
Symmetry-distinct sites (fractional):
1 Na 0.0000 0.0000 0.0000 x1
2 Ni 0.0000 0.5000 0.5000 x3
3 Cl 0.5000 0.5000 0.5000 x1

---

The relative energies come out as version a 1.180; version b 0.000, with values in eV/atom.

---

Version a
# Na2NiCl4

Na2NiCl4 after structural relaxation (PBE, Alexandria via LeMat-Bulk).

Calculated values
Size of the total moment in μB/cell: 0.29

abc: 6.6795 6.6795 7.4967
angles: 90.00 90.00 90.00
Space group I4/mmm (No. 139)
Symmetry-distinct sites (fractional):
1 Na 0.0000 0.5000 0.2500 x4
2 Ni 0.0000 0.0000 0.0000 x2
3 Cl 0.2314 0.2314 0.0000 x8

---

Version b
# Na2NiCl4

Na2NiCl4 after structural relaxation (PBE, Alexandria via LeMat-Bulk).

Calculated values
Size of the total moment in μB/cell: 0.00

abc: 4.7505 4.7505 13.8582
angles: 90.00 90.00 90.00
Space group I4/mmm (No. 139)
Symmetry-distinct sites (fractional):
1 Na 0.0000 0.0000 0.1349 x4
2 Ni 0.0000 0.0000 0.5000 x2
3 Cl 0.0000 0.0000 0.3339 x4
4 Cl 0.0000 0.5000 0.0000 x4

---

The relative energies come out as version a 0.000; version b 0.044, with values in eV/atom.

---

Version a
# NaNiSCl2

NaNiSCl2 after structural relaxation (PBE, Alexandria via LeMat-Bulk).

Calculated values
Size of the total moment in μB/cell: 1.69

abc: 4.9437 4.9437 4.3214
angles: 90.00 90.00 90.00
Space group P4/mmm (No. 123)
Symmetry-distinct sites (fractional):
1 Na 0.0000 0.0000 0.0000 x1
2 Ni 0.5000 0.5000 0.5000 x1
3 S 0.5000 0.5000 0.0000 x1
4 Cl 0.0000 0.5000 0.5000 x2

---

Version b
# NaNiSCl2

NaNiSCl2 after structural relaxation (PBE, Alexandria via LeMat-Bulk).

Calculated values
Size of the total moment in μB/cell: 3.01

abc: 4.9549 4.9549 5.2125
angles: 90.00 90.00 90.00
Space group P4/mmm (No. 123)
Symmetry-distinct sites (fractional):
1 Na 0.0000 0.0000 0.0000 x1
2 Ni 0.5000 0.5000 0.5000 x1
3 S 0.0000 0.0000 0.5000 x1
4 Cl 0.0000 0.5000 0.0000 x2

---

The relative energies come out as version a 0.000; version b 1.082, with values in eV/atom.

---

Version a
# Na2NpCl8

Na2NpCl8 after structural relaxation (PBE, Alexandria via LeMat-Bulk).

Calculated values
Size of the total moment in μB/cell: 6.00

abc: 11.7477 9.9606 6.5843
angles: 90.00 110.38 90.00
Space group C2/m (No. 12)
Symmetry-distinct sites (fractional):
1 Na 0.1897 0.0000 0.4476 x4
2 Np 0.0000 0.5000 0.0000 x2
3 Cl 0.0558 0.0000 0.7151 x4
4 Cl 0.1260 0.3224 0.2556 x8
5 Cl 0.1493 0.5000 0.8033 x4

---

Version b
# Na2NpCl8

Na2NpCl8 after structural relaxation (PBE, Alexandria via LeMat-Bulk).

Calculated values
Size of the total moment in μB/cell: 1.69

abc: 20.6530 4.7912 6.2599
angles: 90.00 94.52 90.00
Space group C2/m (No. 12)
Symmetry-distinct sites (fractional):
1 Na 0.2221 0.0000 0.2552 x4
2 Np 0.0000 0.5000 0.0000 x2
3 Cl 0.0233 0.0000 0.2277 x4
4 Cl 0.0696 0.5000 0.6971 x4
5 Cl 0.1152 0.5000 0.1876 x4
6 Cl 0.2164 0.0000 0.7297 x4

---

The relative energies come out as version a 0.000; version b 0.090, with values in eV/atom.

---

Version a
# Na7Cl3O2

Na7Cl3O2 after structural relaxation (PBE, Alexandria via LeMat-Bulk).

Calculated values
Size of the total moment in μB/cell: 0.33

abc: 4.5057 4.5057 23.4119
angles: 90.00 90.00 90.00
Space group I4/mmm (No. 139)
Symmetry-distinct sites (fractional):
1 Na 0.0000 0.0000 0.0000 x2
2 Na 0.0000 0.0000 0.1944 x4
3 Na 0.0000 0.5000 0.0970 x8
4 Cl 0.0000 0.0000 0.3115 x4
5 Cl 0.0000 0.0000 0.5000 x2
6 O 0.0000 0.0000 0.0976 x4

---

Version b
# Na7Cl3O2

Na7Cl3O2 after structural relaxation (PBE, Alexandria via LeMat-Bulk).

Calculated values
Size of the total moment in μB/cell: 0.29

abc: 4.5171 24.3414 4.4093
angles: 90.00 90.00 90.00
Space group Cmmm (No. 65)
Symmetry-distinct sites (fractional):
1 Na 0.0000 0.0000 0.0000 x2
2 Na 0.0000 0.0944 0.5000 x4
3 Na 0.0000 0.1866 0.0000 x4
4 Na 0.0000 0.4064 0.0000 x4
5 Cl 0.0000 0.3160 0.5000 x4
6 Cl 0.0000 0.5000 0.5000 x2
7 O 0.0000 0.0942 0.0000 x4

---

The relative energies come out as version a 0.000; version b 0.040, with values in eV/atom.

---

Version a
# NaCl3O

NaCl3O after structural relaxation (PBE, Alexandria via LeMat-Bulk).

Calculated values
Size of the total moment in μB/cell: 0.00

abc: 4.5782 4.5782 4.5782
angles: 90.00 90.00 90.00
Space group Pm-3m (No. 221)
Symmetry-distinct sites (fractional):
1 Na 0.0000 0.0000 0.0000 x1
2 Cl 0.0000 0.5000 0.5000 x3
3 O 0.5000 0.5000 0.5000 x1

---

Version b
# NaCl3O

NaCl3O after structural relaxation (PBE, Alexandria via LeMat-Bulk).

Calculated values
Size of the total moment in μB/cell: 4.00

abc: 5.2870 5.2870 5.2870
angles: 90.00 90.00 90.00
Space group Pm-3m (No. 221)
Symmetry-distinct sites (fractional):
1 Na 0.0000 0.0000 0.0000 x1
2 Cl 0.0000 0.0000 0.5000 x3
3 O 0.5000 0.5000 0.5000 x1

---

The relative energies come out as version a 0.000; version b 0.543, with values in eV/atom.

---

Version a
# NaPCl2O

NaPCl2O after structural relaxation (PBE, Alexandria via LeMat-Bulk).

Calculated values
Size of the total moment in μB/cell: 0.00

abc: 4.7698 4.7698 5.7475
angles: 90.00 90.00 90.00
Space group P4/mmm (No. 123)
Symmetry-distinct sites (fractional):
1 Na 0.0000 0.0000 0.0000 x1
2 P 0.0000 0.0000 0.5000 x1
3 Cl 0.0000 0.5000 0.0000 x2
4 O 0.5000 0.5000 0.5000 x1

---

Version b
# NaPCl2O

NaPCl2O after structural relaxation (PBE, Alexandria via LeMat-Bulk).

Calculated values
Size of the total moment in μB/cell: 0.12

abc: 5.7633 5.7633 3.3572
angles: 90.00 90.00 90.00
Space group P4/mmm (No. 123)
Symmetry-distinct sites (fractional):
1 Na 0.0000 0.0000 0.0000 x1
2 P 0.5000 0.5000 0.0000 x1
3 Cl 0.0000 0.5000 0.5000 x2
4 O 0.5000 0.5000 0.5000 x1

---

The relative energies come out as version a 1.531; version b 0.000, with values in eV/atom.

---

Version a
# NaS2ClO

NaS2ClO after structural relaxation (PBE, Alexandria via LeMat-Bulk).

Calculated values
Size of the total moment in μB/cell: 6.00

abc: 5.4439 5.4439 5.1812
angles: 90.00 90.00 90.00
Space group P4/mmm (No. 123)
Symmetry-distinct sites (fractional):
1 Na 0.0000 0.0000 0.0000 x1
2 S 0.0000 0.5000 0.0000 x2
3 Cl 0.0000 0.0000 0.5000 x1
4 O 0.5000 0.5000 0.5000 x1

---

Version b
# NaS2ClO

NaS2ClO after structural relaxation (PBE, Alexandria via LeMat-Bulk).

Calculated values
Size of the total moment in μB/cell: 1.14

abc: 3.9075 3.9075 7.5275
angles: 90.00 90.00 90.00
Space group P4/mmm (No. 123)
Symmetry-distinct sites (fractional):
1 Na 0.0000 0.0000 0.0000 x1
2 S 0.0000 0.5000 0.5000 x2
3 Cl 0.5000 0.5000 0.0000 x1
4 O 0.5000 0.5000 0.5000 x1

---

The relative energies come out as version a 1.152; version b 0.000, with values in eV/atom.

---

Version a
# Na2OsCl2

Na2OsCl2 after structural relaxation (PBE, Alexandria via LeMat-Bulk).

Calculated values
Size of the total moment in μB/cell: 8.00

abc: 4.8043 4.8043 12.5259
angles: 90.00 90.00 90.00
Space group I4/mmm (No. 139)
Symmetry-distinct sites (fractional):
1 Na 0.0000 0.5000 0.2500 x4
2 Os 0.0000 0.0000 0.0000 x2
3 Cl 0.0000 0.0000 0.3477 x4

---

Version b
# Na2OsCl2

Na2OsCl2 after structural relaxation (PBE, Alexandria via LeMat-Bulk).

Calculated values
Size of the total moment in μB/cell: 0.00

abc: 6.5447 6.5447 4.5535
angles: 90.00 90.00 90.00
Space group P4/mbm (No. 127)
Symmetry-distinct sites (fractional):
1 Na 0.1766 0.3234 0.0000 x4
2 Os 0.0000 0.0000 0.5000 x2
3 Cl 0.1670 0.6670 0.5000 x4

---

The relative energies come out as version a 0.332; version b 0.000, with values in eV/atom.

---

Version a
# NaOsCl3

NaOsCl3 after structural relaxation (PBE, Alexandria via LeMat-Bulk).

Calculated values
Size of the total moment in μB/cell: 4.43

abc: 4.9574 4.9574 4.9574
angles: 90.00 90.00 90.00
Space group Pm-3m (No. 221)
Symmetry-distinct sites (fractional):
1 Na 0.0000 0.0000 0.0000 x1
2 Os 0.5000 0.5000 0.5000 x1
3 Cl 0.0000 0.0000 0.5000 x3

---

Version b
# NaOsCl3

NaOsCl3 after structural relaxation (PBE, Alexandria via LeMat-Bulk).

Calculated values
Size of the total moment in μB/cell: 1.34

abc: 4.8734 4.8734 4.8734
angles: 90.00 90.00 90.00
Space group Pm-3m (No. 221)
Symmetry-distinct sites (fractional):
1 Na 0.0000 0.0000 0.0000 x1
2 Os 0.5000 0.5000 0.5000 x1
3 Cl 0.0000 0.5000 0.5000 x3

---

The relative energies come out as version a 0.984; version b 0.000, with values in eV/atom.

---

Version a
# NaOs2Cl

NaOs2Cl after structural relaxation (PBE, Alexandria via LeMat-Bulk).

Calculated values
Size of the total moment in μB/cell: 0.00

abc: 6.2599 6.2599 6.2599
angles: 90.00 90.00 90.00
Space group Fm-3m (No. 225)
Symmetry-distinct sites (fractional):
1 Na 0.0000 0.0000 0.0000 x4
2 Os 0.2500 0.2500 0.2500 x8
3 Cl 0.0000 0.0000 0.5000 x4

---

Version b
# NaOs2Cl

NaOs2Cl after structural relaxation (PBE, Alexandria via LeMat-Bulk).

Calculated values
Size of the total moment in μB/cell: 0.00

abc: 8.1885 8.1885 4.5344
angles: 90.00 90.00 90.00
Space group I-42d (No. 122)
Symmetry-distinct sites (fractional):
1 Na 0.0000 0.0000 0.0000 x4
2 Os 0.1893 0.7500 0.6250 x8
3 Cl 0.0000 0.0000 0.5000 x4

---

The relative energies come out as version a 0.659; version b 0.000, with values in eV/atom.